1.
Material: NaLaHfPt
Method: DFT, GGA-PBE
State: relaxed

Output
The value obtained for the raw total energy is -5.36 eV per atom. As for the space group: F-43m (216).

Unit cell a=5.026 b=5.026 c=5.026 alpha=60.00 beta=60.00 gamma=60.00
Fractional positions:
Hf1 0.000 0.000 0.000
Na1 0.750 0.750 0.750
La1 0.250 0.250 0.250
Pt1 0.500 0.500 0.500



2.
Material: NaLaHfPt
Method: DFT, GGA-PBE
State: relaxed

Output
The value obtained for the raw total energy is -5.62 eV per atom. As for the space group: F-43m (216).

Unit cell a=5.057 b=5.057 c=5.057 alpha=60.00 beta=60.00 gamma=60.00
Fractional positions:
Pt1 0.250 0.250 0.250
La1 0.000 0.000 0.000
Hf1 0.500 0.500 0.500
Na1 0.750 0.750 0.750



3.
Material: NaLaHfPt
Method: DFT, GGA-PBE
State: relaxed

Output
The value obtained for the raw total energy is -5.57 eV per atom. As for the space group: F-43m (216).

Unit cell a=4.945 b=4.945 c=4.945 alpha=60.00 beta=60.00 gamma=60.00
Fractional positions:
Hf1 0.250 0.250 0.250
Pt1 0.500 0.500 0.500
La1 0.000 0.000 0.000
Na1 0.750 0.750 0.750



4.
Material: LaHfNi2
Method: DFT, GGA-PBE
State: relaxed

Output
The value obtained for the raw total energy is -6.81 eV per atom. Its energy of formation from the pure elements is -29.2 kJ/mol of atoms. As for the space group: Amm2 (38).

Unit cell a=4.304 b=5.397 c=5.397 alpha=37.40 beta=90.00 gamma=90.00
Fractional positions:
Ni1 0.000 0.913 0.913
Ni2 0.500 0.071 0.071
Hf1 0.500 0.371 0.371
La1 0.000 0.645 0.645



5.
Material: LaHf31O64
Method: DFT, GGA-PBE
State: relaxed

Output
The value obtained for the raw total energy is -10.06 eV per atom. As for the space group: P1 (1).

Unit cell a=10.013 b=10.136 c=10.464 alpha=90.06 beta=90.06 gamma=90.10
Site moments in Bohr magnetons follow the coordinates.
Fractional positions:
O1 0.101 0.746 0.008  0.00
O2 0.837 0.311 0.059  0.00
O3 0.337 0.687 0.439  0.00
O4 0.832 0.573 0.433  0.01
O5 0.102 0.997 0.995  0.00
O6 0.415 0.688 0.688  0.00
O7 0.596 0.996 0.499  0.01
O8 0.337 0.938 0.060  0.01
O9 0.412 0.187 0.688  0.01
O10 0.649 0.998 0.244  0.00
O11 0.835 0.812 0.062  0.00
O12 0.953 0.056 0.691  0.21
O13 0.148 0.500 0.255  0.00
O14 0.100 0.248 0.506  0.00
O15 0.413 0.938 0.309  0.01
O16 0.646 0.500 0.243  0.00
O17 0.836 0.818 0.565  0.01
O18 0.335 0.437 0.063  0.00
O19 0.842 0.055 0.425  0.01
O20 0.104 0.745 0.505  0.00
O21 0.101 0.498 0.493  0.00
O22 0.601 0.000 0.007  0.00
O23 0.601 0.250 0.001  0.00
O24 0.101 0.498 0.994  0.00
O25 0.335 0.936 0.561  0.01
O26 0.648 0.749 0.255  0.00
O27 0.414 0.188 0.190  0.00
O28 0.603 0.750 0.495  0.00
O29 0.918 0.063 0.181  0.01
O30 0.649 0.747 0.755  0.00
O31 0.914 0.311 0.310  0.00
O32 0.916 0.811 0.310  0.00
O33 0.332 0.436 0.563  0.00
O34 0.835 0.562 0.938  0.00
O35 0.906 0.304 0.804  0.00
O36 0.597 0.259 0.490  0.03
O37 0.414 0.688 0.189  0.00
O38 0.105 0.995 0.492  0.00
O39 0.147 0.501 0.756  0.00
O40 0.336 0.687 0.940  0.01
O41 0.601 0.501 0.006  0.00
O42 0.412 0.441 0.811  0.00
O43 0.335 0.187 0.438  0.00
O44 0.103 0.250 0.008  0.00
O45 0.833 0.064 0.931  0.01
O46 0.149 0.750 0.245  0.00
O47 0.600 0.503 0.505  0.00
O48 0.633 0.991 0.756  0.04
O49 0.333 0.189 0.940  0.00
O50 0.839 0.341 0.555  0.01
O51 0.914 0.561 0.187  0.00
O52 0.917 0.567 0.688  0.00
O53 0.161 0.999 0.757  0.22
O54 0.150 0.748 0.746  0.00
O55 0.148 0.252 0.748  0.00
O56 0.650 0.248 0.255  0.00
O57 0.149 0.251 0.244  0.00
O58 0.413 0.438 0.312  0.00
O59 0.631 0.258 0.769  0.01
O60 0.403 0.940 0.807  0.21
O61 0.916 0.812 0.813  0.00
O62 0.648 0.499 0.743  0.00
O63 0.149 0.000 0.254  0.00
O64 0.601 0.750 0.994  0.00
Hf1 0.009 0.876 0.144  0.00
Hf2 0.510 0.622 0.856  0.00
Hf3 0.238 0.868 0.898  -0.01
Hf4 0.239 0.123 0.606  0.00
Hf5 0.242 0.621 0.607  0.00
Hf6 0.505 0.124 0.862  -0.01
Hf7 0.241 0.621 0.109  0.00
Hf8 0.508 0.374 0.642  0.00
Hf9 0.009 0.627 0.356  0.00
Hf10 0.741 0.876 0.392  0.00
Hf11 0.241 0.375 0.893  0.00
Hf12 0.741 0.626 0.607  0.00
Hf13 0.009 0.376 0.144  0.00
Hf14 0.013 0.381 0.643  0.00
Hf15 0.013 0.125 0.355  0.00
Hf16 0.510 0.873 0.144  0.00
Hf17 0.740 0.627 0.107  0.00
Hf18 0.008 0.627 0.859  0.00
Hf19 0.510 0.623 0.358  0.00
Hf20 0.015 0.868 0.642  -0.01
Hf21 0.240 0.372 0.392  0.00
Hf22 0.738 0.377 0.896  0.00
Hf23 0.512 0.123 0.359  0.00
Hf24 0.014 0.129 0.865  -0.01
Hf25 0.242 0.123 0.109  0.00
Hf26 0.509 0.872 0.639  -0.01
Hf27 0.740 0.874 0.893  0.00
Hf28 0.740 0.126 0.108  0.00
Hf29 0.509 0.372 0.144  0.00
Hf30 0.740 0.382 0.390  0.00
Hf31 0.242 0.872 0.391  0.00
La1 0.754 0.131 0.620  0.03



6.
Material: La2Hf2O7
Method: DFT, GGA-PBE
State: relaxed

Output
The value obtained for the raw total energy is -9.01 eV per atom. As for the space group: Fd-3m (227).

Unit cell a=7.493 b=7.493 c=7.493 alpha=120.00 beta=90.00 gamma=120.00
Fractional positions:
O1 0.863 0.750 0.637
O2 0.613 0.726 0.363
O3 0.625 0.750 0.875
O4 0.375 0.250 0.125
O5 0.613 0.250 0.887
O6 0.387 0.274 0.637
O7 0.613 0.250 0.363
O8 0.137 0.250 0.887
O9 0.863 0.750 0.113
O10 0.137 0.774 0.887
O11 0.387 0.750 0.113
O12 0.863 0.226 0.113
O13 0.387 0.750 0.637
O14 0.137 0.250 0.363
Hf1 0.500 0.500 0.000
Hf2 0.000 0.000 0.000
Hf3 0.500 0.000 0.000
Hf4 0.500 0.500 0.500
La1 0.000 0.000 0.500
La2 0.000 0.500 0.000
La3 0.000 0.500 0.500
La4 0.500 0.000 0.500



7.
Material: LaHfO3
Method: DFT, GGA-PBE
State: relaxed

Output
The value obtained for the raw total energy is -9.08 eV per atom. As for the space group: R-3 (148).

Unit cell a=5.681 b=5.681 c=6.259 alpha=63.01 beta=63.01 gamma=60.00
Site moments in Bohr magnetons follow the coordinates.
Fractional positions:
O1 0.196 0.961 0.282  0.00
O2 0.039 0.439 0.718  0.00
O3 0.804 0.039 0.718  0.00
O4 0.561 0.196 0.282  0.00
O5 0.961 0.561 0.282  0.00
O6 0.439 0.804 0.718  0.00
Hf1 0.157 0.157 0.529  0.12
Hf2 0.843 0.843 0.471  0.12
La1 0.360 0.360 0.919  0.26
La2 0.640 0.640 0.081  0.26



8.
Material: La2Hf2O7
Method: DFT, GGA-PBE
State: relaxed

Output
The value obtained for the raw total energy is -9.46 eV per atom. As for the space group: Fd-3m (227).

Unit cell a=7.575 b=7.575 c=7.575 alpha=120.00 beta=90.00 gamma=120.00
Fractional positions:
O1 0.581 0.662 0.331
O2 0.125 0.750 0.375
O3 0.169 0.250 0.331
O4 0.419 0.338 0.669
O5 0.581 0.250 0.919
O6 0.831 0.750 0.669
O7 0.831 0.750 0.081
O8 0.169 0.838 0.919
O9 0.831 0.162 0.081
O10 0.581 0.250 0.331
O11 0.169 0.250 0.919
O12 0.419 0.750 0.081
O13 0.875 0.250 0.625
O14 0.419 0.750 0.669
La1 0.000 0.500 0.000
La2 0.000 0.500 0.500
La3 0.500 0.000 0.500
La4 0.000 0.000 0.500
Hf1 0.500 0.500 0.500
Hf2 0.500 0.500 0.000
Hf3 0.500 0.000 0.000
Hf4 0.000 0.000 0.000



9.
Material: La2HfO4
Method: DFT, GGA-PBE
State: relaxed

Output
The value obtained for the raw total energy is -8.68 eV per atom. As for the space group: Fd-3m (227).

Unit cell a=6.925 b=6.925 c=6.925 alpha=120.00 beta=90.01 gamma=120.00
Fractional positions:
La1 0.375 0.750 0.125
La2 0.375 0.250 0.625
La3 0.375 0.750 0.625
La4 0.875 0.250 0.625
Hf1 0.000 0.000 0.000
Hf2 0.750 0.500 0.250
O1 0.634 0.268 0.366
O2 0.116 0.232 0.348
O3 0.098 0.732 0.366
O4 0.116 0.768 0.884
O5 0.116 0.232 0.884
O6 0.634 0.268 0.902
O7 0.634 0.732 0.366
O8 0.652 0.768 0.884



10.
Material: LaHf31O64
Method: DFT, GGA-PBE
State: relaxed

Output
The value obtained for the raw total energy is -10.06 eV per atom. As for the space group: P1 (1).

Unit cell a=10.075 b=10.122 c=10.471 alpha=89.89 beta=90.00 gamma=89.78
Site moments in Bohr magnetons follow the coordinates.
Fractional positions:
O1 0.106 0.002 0.743  0.00
O2 0.146 0.246 0.008  0.00
O3 0.401 0.455 0.051  0.01
O4 0.411 0.947 0.556  0.01
O5 0.836 0.443 0.809  0.01
O6 0.841 0.447 0.308  0.01
O7 0.606 0.000 0.243  0.00
O8 0.909 0.195 0.942  0.00
O9 0.837 0.692 0.691  0.00
O10 0.104 0.247 0.758  0.01
O11 0.104 0.500 0.246  0.00
O12 0.646 0.751 0.507  0.00
O13 0.911 0.693 0.940  0.02
O14 0.644 0.250 0.509  0.00
O15 0.340 0.197 0.192  0.01
O16 0.408 0.448 0.556  0.01
O17 0.340 0.446 0.306  0.01
O18 0.910 0.697 0.443  0.00
O19 0.412 0.192 0.942  0.01
O20 0.413 0.695 0.436  0.07
O21 0.095 0.756 0.748  0.01
O22 0.840 0.196 0.193  0.00
O23 0.132 0.756 0.021  0.01
O24 0.607 0.001 0.741  0.00
O25 0.104 0.250 0.258  0.00
O26 0.146 0.999 0.991  0.00
O27 0.435 0.707 0.948  0.07
O28 0.341 0.947 0.308  0.01
O29 0.144 0.499 0.491  0.00
O30 0.840 0.196 0.692  0.00
O31 0.343 0.417 0.801  0.01
O32 0.348 0.704 0.678  0.07
O33 0.658 0.752 0.010  0.04
O34 0.604 0.249 0.260  0.00
O35 0.909 0.948 0.058  0.01
O36 0.145 0.000 0.491  0.00
O37 0.106 0.750 0.263  0.00
O38 0.148 0.750 0.507  0.00
O39 0.644 0.251 0.010  0.00
O40 0.646 0.500 0.492  0.00
O41 0.840 0.946 0.809  0.01
O42 0.339 0.696 0.189  0.03
O43 0.099 0.491 0.737  0.03
O44 0.901 0.446 0.057  0.03
O45 0.336 0.184 0.687  0.01
O46 0.602 0.501 0.743  0.00
O47 0.143 0.248 0.507  0.00
O48 0.606 0.751 0.258  0.01
O49 0.841 0.947 0.310  0.01
O50 0.647 0.003 0.994  0.00
O51 0.605 0.499 0.244  0.00
O52 0.105 0.000 0.242  0.00
O53 0.911 0.945 0.560  0.00
O54 0.608 0.752 0.758  0.00
O55 0.646 0.000 0.492  0.00
O56 0.643 0.501 0.994  0.01
O57 0.409 0.198 0.441  0.01
O58 0.907 0.445 0.557  0.02
O59 0.410 0.948 0.060  0.01
O60 0.130 0.490 0.003  0.03
O61 0.840 0.698 0.195  0.01
O62 0.909 0.196 0.443  0.00
O63 0.341 0.941 0.810  0.01
O64 0.605 0.249 0.758  0.00
Hf1 0.743 0.874 0.642  0.00
Hf2 0.514 0.629 0.112  0.00
Hf3 0.510 0.877 0.391  0.00
Hf4 0.514 0.882 0.892  0.00
Hf5 0.005 0.373 0.891  0.00
Hf6 0.009 0.874 0.891  0.00
Hf7 0.509 0.124 0.607  0.00
Hf8 0.241 0.877 0.142  0.00
Hf9 0.008 0.125 0.610  0.00
Hf10 0.010 0.875 0.392  0.00
Hf11 0.005 0.624 0.112  0.00
Hf12 0.508 0.125 0.110  0.00
Hf13 0.740 0.376 0.642  0.00
Hf14 0.009 0.125 0.108  0.00
Hf15 0.239 0.376 0.142  0.00
Hf16 0.739 0.375 0.143  0.00
Hf17 0.513 0.626 0.607  0.00
Hf18 0.241 0.877 0.640  0.00
Hf19 0.742 0.126 0.360  0.00
Hf20 0.010 0.626 0.610  0.00
Hf21 0.008 0.376 0.393  0.00
Hf22 0.511 0.372 0.893  0.00
Hf23 0.240 0.370 0.639  0.00
Hf24 0.741 0.625 0.860  0.00
Hf25 0.744 0.879 0.143  0.00
Hf26 0.242 0.125 0.859  0.00
Hf27 0.241 0.625 0.359  0.00
Hf28 0.508 0.376 0.392  0.00
Hf29 0.743 0.626 0.360  0.00
Hf30 0.241 0.126 0.359  0.00
Hf31 0.742 0.126 0.858  0.00
La1 0.251 0.621 0.868  0.01



11.
Material: LaHfPb
Method: DFT, GGA-PBE
State: relaxed

Output
The value obtained for the raw total energy is -5.39 eV per atom. As for the space group: F-43m (216).

Unit cell a=5.256 b=5.256 c=5.256 alpha=60.00 beta=60.00 gamma=60.00
Fractional positions:
Hf1 0.250 0.250 0.250
Pb1 0.750 0.750 0.750
La1 0.000 0.000 0.000



12.
Material: LaHfPb
Method: DFT, GGA-PBE
State: relaxed

Output
The value obtained for the raw total energy is -5.72 eV per atom. As for the space group: F-43m (216).

Unit cell a=5.132 b=5.132 c=5.132 alpha=60.00 beta=60.00 gamma=60.00
Fractional positions:
Pb1 0.750 0.750 0.750
Hf1 0.000 0.000 0.000
La1 0.250 0.250 0.250